No. 1
A plane-wave DFT calculation with SCAN was carried out for a PBEsol-optimized structure of Zn3PBr.

Output
N(E_F)   0.9 states/eV per cell
Mass density   4.45 g/cm³
Magnetic moment   0.00 μB per atom
Energy relative to the elements, uncorrected   5.2 eV per formula unit

Cell: 4.8567 4.8567 4.8567 Å, 90.00 90.00 90.00°
Atoms (fractional coordinates):
Zn 0.0000 0.0000 0.5000
Zn 0.0000 0.5000 0.0000
Zn 0.5000 0.0000 0.0000
P 0.5000 0.5000 0.5000
Br 0.0000 0.0000 0.0000

=====

No. 2
A plane-wave DFT calculation with SCAN was carried out for a PBEsol-optimized structure of ZrPBr2.

Output
N(E_F)   2.5 states/eV per cell
Mass density   6.06 g/cm³
Magnetic moment   0.00 μB per atom
Energy relative to the elements, uncorrected   1.1 eV per formula unit

Cell: 4.8150 4.8150 3.3338 Å, 90.00 90.00 90.11°
Atoms (fractional coordinates):
Zr 0.0000 0.0000 0.0000
P 0.5000 0.5000 0.0000
Br 0.0000 0.5000 0.5000
Br 0.5000 0.0000 0.5000

=====

No. 3
A plane-wave DFT calculation with SCAN was carried out for a PBEsol-optimized structure of ZrPBr2.

Output
N(E_F)   1.9 states/eV per cell
Mass density   4.88 g/cm³
Magnetic moment   0.24 μB per atom
Energy relative to the elements, uncorrected   -0.1 eV per formula unit

Cell: 3.3023 3.3023 10.2001 Å, 90.00 90.00 120.47°
Atoms (fractional coordinates):
Zr 0.0000 0.0000 0.0000
P 0.0000 0.0000 0.5000
Br 0.5000 0.5000 0.2068
Br 0.5000 0.5000 0.7932

=====

No. 4
A plane-wave DFT calculation with SCAN was carried out for a PBEsol-optimized structure of ZrPBr2.

Output
N(E_F)   1.0 states/eV per cell
Mass density   4.18 g/cm³
Magnetic moment   0.00 μB per atom
Energy relative to the elements, uncorrected   -2.3 eV per formula unit

Cell: 6.8274 6.8274 6.8274 Å, 149.76 135.25 54.96°
Atoms (fractional coordinates):
Zr 0.0000 0.0000 0.0000
P 0.8584 0.3584 0.5000
Br 0.1724 0.6724 0.5000
Br 0.4485 0.4485 0.0000

=====

No. 5
A plane-wave DFT calculation with SCAN was carried out for a PBEsol-optimized structure of PaBr4.

Output
Mass density   6.03 g/cm³
Magnetic moment   0.20 μB per atom
Energy relative to the elements, uncorrected   -7.6 eV per formula unit

Cell: 7.3491 7.3491 7.3491 Å, 106.84 106.84 114.87°
Atoms (fractional coordinates):
Pa 0.3750 0.6250 0.7500
Pa 0.6250 0.3750 0.2500
Br 0.1350 0.6991 0.4359
Br 0.2368 0.3009 0.9359
Br 0.3009 0.2368 0.4359
Br 0.3009 0.8650 0.0641
Br 0.6991 0.1350 0.9359
Br 0.6991 0.7632 0.5641
Br 0.7632 0.6991 0.0641
Br 0.8650 0.3009 0.5641

=====

No. 6
A plane-wave DFT calculation with SCAN was carried out for a PBEsol-optimized structure of PbBr3.

Output
N(E_F)   4.6 states/eV per cell
Mass density   5.68 g/cm³
Magnetic moment   0.25 μB per atom
Energy relative to the elements, uncorrected   -1.3 eV per formula unit

Cell: 4.0730 4.0730 9.0943 Å, 90.00 90.00 120.00°
Atoms (fractional coordinates):
Pb 0.0000 0.0000 0.0000
Br 0.0000 0.0000 0.5000
Br 0.3333 0.6667 0.2068
Br 0.3333 0.6667 0.7932

=====

No. 7
A plane-wave DFT calculation with SCAN was carried out for a PBEsol-optimized structure of PbBr3.

Output
N(E_F)   5.1 states/eV per cell
Mass density   7.01 g/cm³
Magnetic moment   0.00 μB per atom
Energy relative to the elements, uncorrected   -1.1 eV per formula unit

Cell: 4.9636 4.9636 4.2962 Å, 90.00 90.00 90.00°
Atoms (fractional coordinates):
Pb 0.0000 0.0000 0.0000
Br 0.0000 0.5000 0.5000
Br 0.5000 0.0000 0.5000
Br 0.5000 0.5000 0.0000

=====

No. 8
A plane-wave DFT calculation with SCAN was carried out for a PBEsol-optimized structure of PbBr3.

Output
N(E_F)   2.6 states/eV per cell
Mass density   5.87 g/cm³
Magnetic moment   0.00 μB per atom
Energy relative to the elements, uncorrected   -2.6 eV per formula unit

Cell: 4.3553 5.6971 10.1898 Å, 90.00 90.00 90.00°
Atoms (fractional coordinates):
Pb 0.2500 0.2500 0.1682
Pb 0.7500 0.7500 0.8318
Br 0.2500 0.0034 0.6653
Br 0.2500 0.4966 0.6653
Br 0.2500 0.7500 0.0436
Br 0.7500 0.2500 0.9564
Br 0.7500 0.5034 0.3347
Br 0.7500 0.9966 0.3347